Compound: CdPb2W
Source: Alexandria
Functional: PBE
Structure: relaxed

a = 3.5141 Å, b = 3.5141 Å, c = 7.8339 Å
α = 90.00°, β = 90.00°, γ = 90.00°
Fractional coordinates of all 4 atoms:
Cd1 0.0000 0.0000 0.0000
Pb1 0.0000 0.0000 0.6000
Pb2 0.5000 0.5000 0.2642
W1 0.5000 0.5000 0.7946

Computed properties:
The total magnetization is 0.0 μB/f.u. Its space-group type is P4mm, No. 99. As for the calculated density: 12.20 g cm⁻³. Its electronic total energy is -4.52 eV per atom. The value obtained for the calculated formation energy is 3.2 eV/f.u.